(1)
A relaxed structure of KCa4. Source: Alexandria, functional PBE.

extended XYZ file:
```
5
Lattice="-4.168 4.168 4.168 4.168 -4.168 4.168 4.168 4.168 -4.168" Properties=species:S:1:pos:R:3 pbc="T T T"
K 0.000 0.000 0.000
Ca 2.084 2.084 -2.084
Ca 2.084 -2.084 2.084
Ca -2.084 2.084 2.084
Ca 2.084 2.084 2.084
```

## Properties
- formation energy from the elements (kJ/mol of formula units) = 315
- E_tot (eV per atom) = -1.168
- crystal system = cubic
- SG = Im-3m (229)


(2)
A relaxed structure of K2Ca. Source: Alexandria, functional PBE.

extended XYZ file:
```
6
Lattice="8.327 -2.056 0.000 8.327 2.056 0.000 -2.414 0.000 10.354" Properties=species:S:1:pos:R:3 pbc="T T T"
K 2.034 0.000 0.203
K 1.707 0.000 6.693
K 12.533 0.000 3.661
K 12.205 0.000 10.152
Ca 6.218 0.000 6.923
Ca 8.021 0.000 3.432
```

## Properties
- formation energy from the elements (kJ/mol of formula units) = 44
- E_tot (eV per atom) = -1.248
- crystal system = monoclinic
- SG = C2/m (12)


(3)
A relaxed structure of K5Ca. Source: Alexandria, functional PBE.

extended XYZ file:
```
6
Lattice="0.000 5.836 5.836 5.836 0.000 5.836 5.836 5.836 0.000" Properties=species:S:1:pos:R:3 pbc="T T T"
K 0.000 0.000 0.000
K 7.287 4.385 4.385
K 4.385 7.287 4.385
K 4.385 4.385 7.287
K 7.287 7.287 7.287
Ca 2.918 2.918 2.918
```

## Properties
- formation energy from the elements (kJ/mol of formula units) = 88
- E_tot (eV per atom) = -1.095
- crystal system = cubic
- SG = F-43m (216)


(4)
A relaxed structure of KCa3. Source: Alexandria, functional PBE.

extended XYZ file:
```
4
Lattice="3.981 0.000 0.000 -1.991 3.448 0.000 0.000 0.000 13.695" Properties=species:S:1:pos:R:3 pbc="T T T"
K 0.000 0.000 0.000
Ca 0.000 0.000 6.848
Ca 0.000 2.298 3.680
Ca 0.000 2.298 10.016
```

## Properties
- formation energy from the elements (kJ/mol of formula units) = 33
- E_tot (eV per atom) = -1.689
- crystal system = hexagonal
- SG = P-6m2 (187)


(5)
A relaxed structure of KCa5. Source: Alexandria, functional PBE.

extended XYZ file:
```
6
Lattice="2.835 -8.452 0.000 2.835 8.452 0.000 0.000 0.000 5.662" Properties=species:S:1:pos:R:3 pbc="T T T"
K 0.000 0.000 0.000
Ca 2.835 5.530 2.831
Ca 2.835 2.889 0.000
Ca 2.835 0.000 2.831
Ca 2.835 -2.889 0.000
Ca 2.835 -5.530 2.831
```

## Properties
- formation energy from the elements (kJ/mol of formula units) = 64
- E_tot (eV per atom) = -1.741
- crystal system = orthorhombic
- SG = Cmmm (65)


(6)
A relaxed structure of K2Ca. Source: Alexandria, functional PBE.

extended XYZ file:
```
3
Lattice="-2.088 2.088 10.131 2.088 -2.088 10.131 2.088 2.088 -10.131" Properties=species:S:1:pos:R:3 pbc="T T T"
K 0.000 0.000 3.186
K 0.000 0.000 17.077
Ca 0.000 0.000 10.131
```

## Properties
- formation energy from the elements (kJ/mol of formula units) = 41
- E_tot (eV per atom) = -1.258
- crystal system = tetragonal
- SG = I4/mmm (139)


(7)
A relaxed structure of K2CaLa. Source: Alexandria, functional PBE.

extended XYZ file:
```
4
Lattice="3.667 0.000 0.000 0.000 7.035 0.000 0.000 0.000 7.721" Properties=species:S:1:pos:R:3 pbc="T T T"
K 0.000 0.000 1.933
K 0.000 0.000 5.788
Ca 1.833 3.517 0.000
La 1.833 3.517 3.860
```

## Properties
- formation energy from the elements (kJ/mol of formula units) = 141
- E_tot (eV per atom) = -1.916
- crystal system = orthorhombic
- SG = Pmmm (47)


(8)
A relaxed structure of KCaLa. Source: Alexandria, functional PBE.

extended XYZ file:
```
3
Lattice="0.000 3.146 10.332 2.101 0.000 10.332 2.101 3.146 0.000" Properties=species:S:1:pos:R:3 pbc="T T T"
K 0.000 0.000 0.000
Ca 2.101 3.146 14.026
La 2.101 3.146 6.676
```

## Properties
- formation energy from the elements (kJ/mol of formula units) = 61
- E_tot (eV per atom) = -2.465
- crystal system = orthorhombic
- SG = Fmm2 (42)